A relaxed structure of LiTePd. Source: Alexandria via LeMat-Bulk, functional PBE.

CIF file:
```
data_LiTePd
_chemical_formula_sum 'Li6 Te6 Pd6'
_symmetry_space_group_name_H-M 'R -3 m'
_symmetry_Int_Tables_number 166
_symmetry_space_group_name_Hall '-R 3 2"'
_cell_length_a 4.6167
_cell_length_b 4.6167
_cell_length_c 19.7716
_cell_angle_alpha 90.00
_cell_angle_beta 90.00
_cell_angle_gamma 120.00
loop_
_atom_site_label
_atom_site_type_symbol
_atom_site_fract_x
_atom_site_fract_y
_atom_site_fract_z
Li1 Li 0.0000 0.0000 0.1273
Te1 Te 0.0000 0.0000 0.4106
Pd1 Pd 0.0000 0.0000 0.2676
```

Output
- Theoretical density: 6.58 g cm⁻³
- D(E_F): 6.19 states/eV per cell
- Crystal system: trigonal
- E: -71.5 eV/cell